# 1
RbTmZrSe3 | PBE-GGA | optimized geometry

Cell lengths 4.298, 15.715, 10.762 Å; angles 90.00, 90.00, 90.00 degrees
Space group Cmcm (No. 63)
Asymmetric unit:
Rb1 0.000 0.246 0.250 (multiplicity 4)
Tm1 0.000 0.500 0.000 (multiplicity 4)
Zr1 0.000 0.027 0.750 (multiplicity 4)
Se1 0.000 0.120 0.548 (multiplicity 8)
Se2 0.000 0.432 0.750 (multiplicity 4)

Values from the calculation:
Excess energy over the best structure of this formula in the dataset in eV/atom: 0.000
Mass density in g/cm3: 5.3

---

# 2
RbTmZrSe3 | PBE-GGA | optimized geometry

Cell lengths 4.225, 15.907, 10.733 Å; angles 90.00, 90.00, 90.00 degrees
Space group Cmcm (No. 63)
Asymmetric unit:
Rb1 0.000 0.244 0.250 (multiplicity 4)
Tm1 0.000 0.033 0.750 (multiplicity 4)
Zr1 0.000 0.500 0.000 (multiplicity 4)
Se1 0.000 0.118 0.535 (multiplicity 8)
Se2 0.000 0.430 0.750 (multiplicity 4)

Values from the calculation:
Excess energy over the best structure of this formula in the dataset in eV/atom: 0.044
Mass density in g/cm3: 5.4

---

# 3
RbUSe3 | PBE-GGA | optimized geometry

Cell lengths 5.471, 5.471, 5.471 Å; angles 90.00, 90.00, 90.00 degrees
Space group Pm-3m (No. 221)
Asymmetric unit:
Rb1 0.000 0.000 0.000 (multiplicity 1)
U1 0.500 0.500 0.500 (multiplicity 1)
Se1 0.000 0.500 0.500 (multiplicity 3)

Values from the calculation:
Mass density in g/cm3: 5.7
E_tot in eV per atom: -5.7134

---

# 4
Rb2USe3 | PBE-GGA | optimized geometry

Cell lengths 4.322, 19.474, 6.108 Å; angles 90.00, 90.00, 90.00 degrees
Space group Cmmm (No. 65)
Asymmetric unit:
Rb1 0.000 0.134 0.000 (multiplicity 4)
U1 0.000 0.500 0.500 (multiplicity 2)
Se1 0.000 0.095 0.500 (multiplicity 4)
Se2 0.000 0.500 0.000 (multiplicity 2)

Values from the calculation:
Mass density in g/cm3: 4.2
E_tot in eV per atom: -5.0091